Record 1
BeTc2Pb | PBE-GGA | optimized geometry

a = 3.146 Å, b = 3.426 Å, c = 5.873 Å
α = 90.00°, β = 97.97°, γ = 90.00°
Element x y z (fractional)
1 Be 0.000 0.000 0.000
2 Tc 0.379 0.500 0.194
3 Tc 0.621 0.500 0.806
4 Pb 0.000 0.000 0.500

Summary:
formation energy = 0.492 eV/atom
offset from the most stable computed form = 289 meV/atom
SG = No. 10
DFT total energy = -26.2 eV/cell
magnetic moment = 0.00 μB per formula unit

---

Record 2
BeTcPb | PBE-GGA | optimized geometry

a = 3.090 Å, b = 3.090 Å, c = 6.398 Å
α = 90.00°, β = 90.00°, γ = 120.00°
Element x y z (fractional)
1 Be 0.000 0.000 0.000
2 Tc 0.333 0.667 0.760
3 Pb 0.667 0.333 0.390

Summary:
formation energy = 0.721 eV/atom
offset from the most stable computed form = 341 meV/atom
SG = No. 156
DFT total energy = -15.6 eV/cell
magnetic moment = 0.00 μB per formula unit

---

Record 3
Be4TcPb | PBE-GGA | optimized geometry

a = 4.624 Å, b = 4.624 Å, c = 4.624 Å
α = 60.00°, β = 60.00°, γ = 60.00°
Element x y z (fractional)
1 Be 0.121 0.121 0.121
2 Be 0.121 0.121 0.636
3 Be 0.121 0.636 0.121
4 Be 0.636 0.121 0.121
5 Tc 0.750 0.750 0.750
6 Pb 0.500 0.500 0.500

Summary:
formation energy = 0.240 eV/atom
SG = No. 216
DFT total energy = -27.5 eV/cell
magnetic moment = 0.00 μB per formula unit

---

Record 4
BeTc2Pb | PBE-GGA | optimized geometry

a = 5.145 Å, b = 5.145 Å, c = 5.145 Å
α = 143.56°, β = 129.61°, γ = 63.77°
Element x y z (fractional)
1 Be 0.000 0.000 0.000
2 Tc 0.529 0.529 0.000
3 Tc 0.792 0.292 0.500
4 Pb 0.254 0.754 0.500

Summary:
formation energy = 0.568 eV/atom
offset from the most stable computed form = 365 meV/atom
SG = No. 44
DFT total energy = -25.9 eV/cell
magnetic moment = 0.00 μB per formula unit

---

Record 5
BeTc2Pb | PBE-GGA | optimized geometry

a = 3.178 Å, b = 4.393 Å, c = 4.539 Å
α = 90.00°, β = 90.00°, γ = 90.00°
Element x y z (fractional)
1 Be 0.000 0.000 0.000
2 Tc 0.000 0.500 0.500
3 Tc 0.500 0.500 0.000
4 Pb 0.500 0.000 0.500

Summary:
formation energy = 0.707 eV/atom
offset from the most stable computed form = 503 meV/atom
SG = No. 47
DFT total energy = -25.3 eV/cell
magnetic moment = 0.00 μB per formula unit

---

Record 6
BeTc2Pb | PBE-GGA | optimized geometry

a = 4.526 Å, b = 4.526 Å, c = 5.061 Å
α = 101.44°, β = 101.44°, γ = 39.99°
Element x y z (fractional)
1 Be 0.000 0.000 0.000
2 Tc 0.267 0.267 0.815
3 Tc 0.733 0.733 0.185
4 Pb 0.500 0.500 0.500

Summary:
formation energy = 0.487 eV/atom
offset from the most stable computed form = 283 meV/atom
SG = No. 12
DFT total energy = -26.2 eV/cell
magnetic moment = 0.00 μB per formula unit

---

Record 7
BeTcPb2 | PBE-GGA | optimized geometry

a = 8.327 Å, b = 8.327 Å, c = 8.327 Å
α = 23.36°, β = 23.36°, γ = 23.36°
Element x y z (fractional)
1 Be 0.000 0.000 0.000
2 Tc 0.500 0.500 0.500
3 Pb 0.252 0.252 0.252
4 Pb 0.748 0.748 0.748

Summary:
formation energy = 0.773 eV/atom
SG = No. 166
DFT total energy = -18.4 eV/cell
magnetic moment = 0.00 μB per formula unit

---

Record 8
BeTc2Pb | PBE-GGA | optimized geometry

a = 4.290 Å, b = 4.290 Å, c = 5.753 Å
α = 96.78°, β = 96.78°, γ = 41.00°
Element x y z (fractional)
1 Be 0.000 0.000 0.000
2 Tc 0.481 0.481 0.325
3 Tc 0.728 0.728 0.132
4 Pb 0.230 0.230 0.673

Summary:
formation energy = 0.475 eV/atom
offset from the most stable computed form = 272 meV/atom
SG = No. 8
DFT total energy = -26.3 eV/cell
magnetic moment = 0.00 μB per formula unit

---

Record 9
BeTcPb2 | PBE-GGA | optimized geometry

a = 3.179 Å, b = 3.179 Å, c = 8.601 Å
α = 90.00°, β = 90.00°, γ = 90.00°
Element x y z (fractional)
1 Be 0.000 0.000 0.000
2 Tc 0.500 0.500 0.910
3 Pb 0.000 0.000 0.672
4 Pb 0.500 0.500 0.250

Summary:
formation energy = 0.330 eV/atom
SG = No. 99
DFT total energy = -20.2 eV/cell
magnetic moment = 0.00 μB per formula unit

---

Record 10
BeTcPb2 | PBE-GGA | optimized geometry

a = 3.226 Å, b = 3.226 Å, c = 8.121 Å
α = 90.00°, β = 90.00°, γ = 103.31°
Element x y z (fractional)
1 Be 0.000 0.000 0.000
2 Tc 0.000 0.000 0.500
3 Pb 0.500 0.500 0.246
4 Pb 0.500 0.500 0.754

Summary:
formation energy = 0.901 eV/atom
SG = No. 65
DFT total energy = -17.9 eV/cell
magnetic moment = 1.54 μB per formula unit

---

Record 11
BeTcPb2 | PBE-GGA | optimized geometry

a = 5.200 Å, b = 5.200 Å, c = 5.200 Å
α = 138.29°, β = 122.25°, γ = 73.73°
Element x y z (fractional)
1 Be 0.000 0.000 0.000
2 Tc 0.500 0.500 0.000
3 Pb 0.228 0.728 0.500
4 Pb 0.772 0.272 0.500

Summary:
formation energy = 0.817 eV/atom
SG = No. 71
DFT total energy = -18.2 eV/cell
magnetic moment = 0.00 μB per formula unit

---

Record 12
BeTc2Pb | PBE-GGA | optimized geometry

a = 9.482 Å, b = 9.482 Å, c = 9.482 Å
α = 155.88°, β = 155.88°, γ = 34.38°
Element x y z (fractional)
1 Be 0.000 0.000 0.000
2 Be 0.750 0.250 0.500
3 Tc 0.037 0.125 0.412
4 Tc 0.375 0.963 0.088
5 Tc 0.713 0.625 0.588
6 Tc 0.875 0.287 0.912
7 Pb 0.250 0.750 0.500
8 Pb 0.500 0.500 0.000

Summary:
formation energy = 0.639 eV/atom
offset from the most stable computed form = 435 meV/atom
SG = No. 122
DFT total energy = -51.2 eV/cell
magnetic moment = 0.00 μB per formula unit

---

> Number 5 is which compound?

BeTc2Pb

---

> magnetic moment of number 6 (BeTc2Pb)?

0.00 μB per formula unit